A plane-wave DFT calculation with PBE was carried out for an optimized crystal structure of AlReOs.

a b c (Å): 2.8294 3.8186 8.0140
angles (deg): 90.00 90.00 90.00
Sites, in units of the cell vectors:
Al 0.0000 0.0000 0.0000
Al 0.5000 0.5000 0.5000
Re 0.0000 0.0000 0.3316
Re 0.5000 0.5000 0.8316
Os 0.0000 0.0000 0.6658
Os 0.5000 0.5000 0.1658

Calculated values
Formation energy from the elements (eV/atom): -0.10